The following is a DFT calculation (GGA-PBE) of a relaxed structure of Er3TmAs4.

* space-group type: Pm-3m (221)
* distance to the lowest polymorph of the same formula: 0.0 meV/atom
* crystal system: cubic
* magnetization: 0.00 Bohr magnetons per cell
* ΔH_f (0 K): -1520 meV/atom

Cell: 5.763 5.763 5.763 Å, 90.00 90.00 90.00°
Fractional coordinates of all 8 atoms:
Er 0.000 0.000 0.500
Er 0.000 0.500 0.000
Er 0.500 0.000 0.000
Tm 0.500 0.500 0.500
As 0.000 0.000 0.000
As 0.000 0.500 0.500
As 0.500 0.000 0.500
As 0.500 0.500 0.000

The following is a DFT calculation (GGA-PBE) of a relaxed structure of Er2TmAs.

* space-group type: R-3m (166)
* crystal system: trigonal
* magnetization: 0.90 Bohr magnetons per cell
* ΔH_f (0 K): -567 meV/atom

Cell: 9.573 9.573 9.573 Å, 22.93 22.93 22.93°
Fractional coordinates of all 4 atoms:
Er 0.229 0.229 0.229
Er 0.771 0.771 0.771
Tm 0.000 0.000 0.000
As 0.500 0.500 0.500

The following is a DFT calculation (GGA-PBE) of a relaxed structure of ErTm2As.

* space-group type: R-3m (166)
* crystal system: trigonal
* magnetization: 0.83 Bohr magnetons per cell
* ΔH_f (0 K): -564 meV/atom

Cell: 9.564 9.564 9.564 Å, 22.87 22.87 22.87°
Fractional coordinates of all 4 atoms:
Er 0.000 0.000 0.000
Tm 0.228 0.228 0.228
Tm 0.772 0.772 0.772
As 0.500 0.500 0.500

Which of these has the lowest magnetization?
Er3TmAs4

The lowest ΔH_f (0 K) belongs to which entry?
Er3TmAs4